{
  "formula": "Nd3Zn8Ni",
  "functional": "PBE",
  "state": "relaxed",
  "lattice": [[-4.0617, -1.7931, 3.0175], [0.9640, -1.9817, 4.8951], [-2.0679, 7.1762, 6.2561]],
  "species": ["Nd", "Nd", "Nd", "Zn", "Zn", "Zn", "Zn", "Zn", "Zn", "Zn", "Zn", "Ni"],
  "fractional_positions": [[0.3772, 0.3772, 0.8683], [0.9893, 0.9893, 0.0320], [0.5049, 0.5049, 0.4853], [0.9354, 0.4332, 0.1982], [0.4407, 0.9377, 0.6840], [0.4332, 0.4332, 0.1982], [0.9377, 0.9377, 0.6840], [0.1878, 0.1878, 0.4366], [0.6845, 0.6845, 0.9464], [0.4332, 0.9354, 0.1982], [0.9377, 0.4407, 0.6840], [0.8884, 0.8884, 0.3349]],
  "total_energy_ev_per_atom": -2.74,
  "ef_ev_per_atom": -0.22,
  "dos_ef_per_ev_fu": 7.7
}